{"formula": "NdYSiI", "functional": "PBE", "state": "optimized geometry", "cell": [[2.1157, 1.2215, 7.7171], [-2.1157, 1.2215, 7.7171], [0.0000, -2.4430, 7.7171]], "species": ["Nd", "Y", "Si", "I"], "frac_coords": [[0.0000, 0.0000, 0.0000], [0.7967, 0.7967, 0.7967], [0.4025, 0.4025, 0.4025], [0.2275, 0.2275, 0.2275]], "dos_ef_per_ev_cell": 2.776, "spacegroup": "R3m, No. 160", "total_magnetization_mub_per_cell": 0.0, "raw_formation_energy_mev_per_atom": -918.0}